The following is a GGA-PBE calculation of a relaxed Ta2Ga2Ru3 crystal, from Alexandria.

Space-group type: C2/m
Formation energy from the elements, meV/atom: -339
Uncorrected energy, eV/atom: -8.5656

The structure in POSCAR format:
```
Ta2Ga2Ru3
1.0
4.277 0.023 -1.132
-2.283 3.767 0.001
-0.182 -0.105 7.225
Ta Ga Ru
2 2 3
direct
0.758 0.379 0.151 Ta
0.242 0.621 0.849 Ta
0.238 0.118 0.386 Ga
0.762 0.882 0.614 Ga
0.000 0.000 0.000 Ru
0.524 0.262 0.763 Ru
0.476 0.738 0.237 Ru
```


The following is a GGA-PBE calculation of a relaxed TaGa4Ru5 crystal, from Alexandria.

Space-group type: P4/mmm
Formation energy from the elements, meV/atom: -380
Uncorrected energy, eV/atom: -7.4139

The structure in POSCAR format:
```
TaGa4Ru5
1.0
-1.005 -2.622 -1.295
0.916 -1.583 2.493
-13.529 2.077 6.290
Ta Ga Ru
1 4 5
direct
0.000 0.000 0.000 Ta
0.000 0.000 0.207 Ga
0.000 0.000 0.401 Ga
0.000 0.000 0.599 Ga
0.000 0.000 0.793 Ga
0.500 0.500 0.103 Ru
0.500 0.500 0.301 Ru
0.500 0.500 0.500 Ru
0.500 0.500 0.699 Ru
0.500 0.500 0.897 Ru
```


The following is a GGA-PBE calculation of a relaxed Ta2Ga2Ru crystal, from Alexandria.

Space-group type: P4/mbm
Formation energy from the elements, meV/atom: -180
Uncorrected energy, eV/atom: -7.9868

The structure in POSCAR format:
```
Ta2Ga2Ru
1.0
-0.004 6.388 -0.748
-6.007 0.264 2.284
1.390 0.423 3.607
Ru Ga Ta
2 4 4
direct
0.000 0.000 0.000 Ru
0.500 0.500 0.000 Ru
0.364 0.864 0.000 Ga
0.864 0.636 0.000 Ga
0.636 0.136 0.000 Ga
0.136 0.364 0.000 Ga
0.169 0.669 0.500 Ta
0.669 0.831 0.500 Ta
0.831 0.331 0.500 Ta
0.331 0.169 0.500 Ta
```


The following is a GGA-PBE calculation of a relaxed TaGa2Ru3 crystal, from Alexandria.

Space-group type: P4/mmm
Formation energy from the elements, meV/atom: -446
Uncorrected energy, eV/atom: -8.0688

The structure in POSCAR format:
```
TaGa2Ru3
1.0
3.124 0.000 0.000
0.000 3.124 0.000
0.000 0.000 9.024
Ta Ga Ru
1 2 3
direct
0.500 0.500 0.500 Ta
0.500 0.500 0.842 Ga
0.500 0.500 0.158 Ga
0.000 0.000 0.000 Ru
0.000 0.000 0.670 Ru
0.000 0.000 0.330 Ru
```


The following is a GGA-PBE calculation of a relaxed Ta2GaRu crystal, from Alexandria.

Space-group type: P4/mmm
Formation energy from the elements, meV/atom: -210
Uncorrected energy, eV/atom: -9.2124

The structure in POSCAR format:
```
Ta2GaRu
1.0
-0.720 3.969 0.181
-3.793 -0.735 1.043
1.058 0.016 3.860
Ru Ga Ta
1 1 2
direct
0.500 0.000 0.000 Ru
0.500 0.500 0.500 Ga
0.000 0.000 0.500 Ta
0.000 0.500 0.000 Ta
```


The following is a GGA-PBE calculation of a relaxed TaGa3Ru crystal, from Alexandria.

Space-group type: Pm-3m
Formation energy from the elements, meV/atom: 1265
Uncorrected energy, eV/atom: -4.7768

The structure in POSCAR format:
```
TaGa3Ru
1.0
-4.686 -0.092 -1.349
0.817 -4.068 -2.563
-1.077 -2.688 3.924
Ru Ga Ta
1 3 1
direct
0.500 0.500 0.500 Ru
0.000 0.500 0.000 Ga
0.000 0.000 0.500 Ga
0.500 0.000 0.000 Ga
0.000 0.000 0.000 Ta
```


Among the records above, which one has the highest formation energy from the elements? TaGa3Ru